Here is Zr2TaC after structural relaxation from the Alexandria database. Energies are from GGA-PBE.

Computed properties:
* calculated volume: 16.7 A^3/atom
* symmetry: P-1 (2)
* DOS(E_F): 3.866 states/eV per cell
* DFT total energy: -35.36 eV per formula unit
* formation enthalpy at 0 K: 703.2 meV per atom

POSCAR file:
```
Zr2TaC
1.0
3.4133 0.0000 0.0000
0.0057 4.4120 0.0000
0.0064 0.0079 4.4472
Zr Ta C
2 1 1
Direct
0.0000 0.0000 0.0000
0.0000 0.5000 0.5000
0.5000 0.0000 0.5000
0.5000 0.5000 0.0000
```


Here is ZrTaC2 after structural relaxation from the Alexandria database. Energies are from GGA-PBE.

Computed properties:
* calculated volume: 13.1 A^3/atom
* symmetry: Amm2 (38)
* energy above the lowest structure with this stoichiometry: 0.465 eV per atom
* DOS(E_F): 2.498 states/eV per cell
* DFT total energy: -39.94 eV per formula unit
* formation enthalpy at 0 K: -272.3 meV per atom

POSCAR file:
```
ZrTaC2
1.0
3.2087 0.0000 0.0000
0.0000 1.5760 5.1790
0.0000 -1.5760 5.1790
Zr Ta C
1 1 2
Direct
0.0000 0.0000 0.0000
0.5000 0.2719 0.2719
0.0000 0.7474 0.7474
0.5000 0.4650 0.4650
```


Here is Zr2TaC2 after structural relaxation from the Alexandria database. Energies are from GGA-PBE.

Computed properties:
* calculated volume: 14.9 A^3/atom
* symmetry: C2/c (15)
* energy above the lowest structure with this stoichiometry: 0.000 eV per atom
* DOS(E_F): 4.293 states/eV per cell
* DFT total energy: -50.82 eV per formula unit
* formation enthalpy at 0 K: -683.9 meV per atom

POSCAR file:
```
Zr2TaC2
1.0
2.8092 -4.9846 0.0000
2.8092 4.9846 0.0000
-1.7193 0.0000 5.3368
Zr Ta C
4 2 4
Direct
0.0763 0.9237 0.7500
0.2460 0.7540 0.2500
0.7540 0.2460 0.7500
0.9237 0.0763 0.2500
0.4401 0.5599 0.7500
0.5599 0.4401 0.2500
0.1813 0.3437 0.9989
0.3437 0.1813 0.4989
0.6563 0.8187 0.5011
0.8187 0.6563 0.0011
```


Here is Zr2TaC after structural relaxation from the Alexandria database. Energies are from GGA-PBE.

Computed properties:
* calculated volume: 16.7 A^3/atom
* symmetry: P4/mmm (123)
* DOS(E_F): 4.266 states/eV per cell
* DFT total energy: -37.15 eV per formula unit
* formation enthalpy at 0 K: 254.6 meV per atom

POSCAR file:
```
Zr2TaC
1.0
3.0353 0.0000 0.0000
0.0000 3.0353 0.0000
0.0000 0.0000 7.2443
Zr Ta C
2 1 1
Direct
0.0000 0.0000 0.1856
0.0000 0.0000 0.8144
0.5000 0.5000 0.5000
0.5000 0.5000 0.0000
```


Here is ZrTaC after structural relaxation from the Alexandria database. Energies are from GGA-PBE.

Computed properties:
* calculated volume: 15.5 A^3/atom
* symmetry: P3m1 (156)
* energy above the lowest structure with this stoichiometry: 0.020 eV per atom
* DOS(E_F): 2.923 states/eV per cell
* DFT total energy: -31.20 eV per formula unit
* formation enthalpy at 0 K: -523.9 meV per atom

POSCAR file:
```
ZrTaC
1.0
3.2083 0.0000 0.0000
-1.6041 2.7785 0.0000
0.0000 0.0000 5.2042
Zr Ta C
1 1 1
Direct
0.0000 0.0000 0.0000
0.3333 0.6667 0.4952
0.6667 0.3333 0.2682
```


Here is Tb3C2 after structural relaxation from the Alexandria database. Energies are from GGA-PBE.

Computed properties:
* calculated volume: 19.9 A^3/atom
* symmetry: R-3c (167)
* DOS(E_F): 4.616 states/eV per cell
* DFT total energy: -33.20 eV per formula unit
* formation enthalpy at 0 K: -172.3 meV per atom

POSCAR file:
```
Tb3C2
1.0
3.1210 1.8019 5.9121
-3.1210 1.8019 5.9121
0.0000 -3.6038 5.9121
Tb C
6 4
Direct
0.0622 0.7500 0.4378
0.2500 0.5622 0.9378
0.4378 0.0622 0.7500
0.5622 0.9378 0.2500
0.7500 0.4378 0.0622
0.9378 0.2500 0.5622
0.1558 0.1558 0.1558
0.3442 0.3442 0.3442
0.6558 0.6558 0.6558
0.8442 0.8442 0.8442
```